Version a
DFT (GGA-PBE) results for a relaxed structure of TbNdDy.

The structure belongs to space group Cmmm (No. 65); the cell edges are 11.616, 11.623 and 3.469 Å and the angles 90.00°, 90.00° and 90.00°. The distinct sites, in fractional coordinates, are Tb at (0.000, 0.237, 0.000), Nd at (0.000, 0.000, 0.500), Nd at (0.000, 0.500, 0.000) and Dy at (0.237, 0.500, 0.500).

The value obtained for the magnetic moment is 0.00 μB/f.u.


Version b
DFT (GGA-PBE) results for a relaxed structure of TbNdDy.

The structure belongs to space group Cmce (No. 64); the cell edges are 5.079, 15.239 and 10.186 Å and the angles 90.00°, 90.00° and 90.00°. The distinct sites, in fractional coordinates, are Tb at (0.000, 0.085, 0.125), Nd at (0.000, 0.084, 0.625) and Dy at (0.000, 0.249, 0.375).

The value obtained for the magnetic moment is 0.00 μB/f.u.


Q: Which of them is the least stable? A: version a.